(1)
Compound: Mg2NiSnPd
Source: the Alexandria database
Functional: GGA-PBE
Structure: optimized geometry

Results
N(E_F)   0.4306 states/eV/atom
Space-group type   P4/mmm (123)
Formation enthalpy at 0 K   0.638 eV/atom
Energy   -0.2202 Ry/atom
Total magnetic moment   0.00 μB/cell

extended XYZ file:
```
5
Lattice="-1.527 4.896 -0.964 -3.366 -0.419 3.201 3.274 1.744 3.671" Properties=species:S:1:pos:R:3 pbc="T T T"
Ni -1.683 -0.210 1.601
Mg 1.637 0.872 1.835
Mg -0.764 2.448 -0.482
Sn 0.000 0.000 0.000
Pd -0.810 3.110 2.954
```

***

(2)
Compound: Pr4TlAg
Source: the Alexandria database
Functional: GGA-PBE
Structure: optimized geometry

Results
N(E_F)   1.1539 states/eV/atom
Space-group type   P4/mmm (123)
Energy above the most stable polymorph in this dataset   0.000 eV/atom
Formation enthalpy at 0 K   -0.179 eV/atom
Energy   -0.3112 Ry/atom
Total magnetic moment   2.86 μB/cell

extended XYZ file:
```
12
Lattice="-3.215 1.038 4.223 0.729 -5.050 1.797 10.315 3.936 6.876" Properties=species:S:1:pos:R:3 pbc="T T T"
Pr -1.219 -0.865 6.207
Pr 7.076 3.832 7.900
Pr 2.436 -0.603 5.460
Pr 7.366 -2.518 6.222
Pr 9.048 0.788 6.688
Pr 0.753 -3.909 4.995
Pr 5.393 0.526 7.435
Pr 0.464 2.441 6.673
Tl 0.000 0.000 0.000
Tl -1.243 -2.006 3.010
Ag 3.550 2.487 5.549
Ag 5.522 -0.557 4.336
```

***

(3)
Compound: SmZn2Pb
Source: the Alexandria database
Functional: GGA-PBE
Structure: optimized geometry

Results
N(E_F)   0.8270 states/eV/atom
Space-group type   R-3m (166)
Energy above the most stable polymorph in this dataset   0.128 eV/atom
Formation enthalpy at 0 K   -0.152 eV/atom
Energy   -0.2128 Ry/atom
Total magnetic moment   0.00 μB/cell

extended XYZ file:
```
4
Lattice="5.091 0.000 0.000 2.545 4.409 0.000 2.545 1.470 4.138" Properties=species:S:1:pos:R:3 pbc="T T T"
Pb 0.000 0.000 0.000
Zn 2.545 1.470 1.037
Zn 7.636 4.409 3.101
Sm 5.091 2.939 2.069
```

***

(4)
Compound: Cr2CuPt
Source: the Alexandria database
Functional: GGA-PBE
Structure: optimized geometry

Results
N(E_F)   1.1418 states/eV/atom
Space-group type   P4/mmm (123)
Formation enthalpy at 0 K   -0.108 eV/atom
Energy   -0.5479 Ry/atom
Total magnetic moment   0.00 μB/cell

extended XYZ file:
```
4
Lattice="-0.815 2.428 2.711 0.683 -2.628 2.558 3.743 1.105 0.136" Properties=species:S:1:pos:R:3 pbc="T T T"
Cr 0.000 0.000 0.000
Cr -0.066 -0.100 2.635
Cu 1.464 1.766 1.423
Pt 2.213 -0.762 1.347
```

***

(5)
Compound: Be2IrRh
Source: the Alexandria database
Functional: GGA-PBE
Structure: optimized geometry

Results
N(E_F)   0.6420 states/eV/atom
Space-group type   Pm (6)
Formation enthalpy at 0 K   -0.540 eV/atom
Energy   -0.4745 Ry/atom
Total magnetic moment   0.00 μB/cell

extended XYZ file:
```
4
Lattice="-2.073 -2.914 0.955 2.052 -1.735 -0.838 2.647 -0.750 3.456" Properties=species:S:1:pos:R:3 pbc="T T T"
Be 2.968 -1.075 3.160
Be -0.179 -1.754 1.435
Ir 2.085 -1.158 0.991
Rh 2.749 -3.404 2.753
```

***

(6)
Compound: BeTcP2
Source: the Alexandria database
Functional: GGA-PBE
Structure: optimized geometry

Results
N(E_F)   0.4658 states/eV/atom
Space-group type   P2/m (10)
Formation enthalpy at 0 K   -0.046 eV/atom
Energy   -0.4611 Ry/atom
Total magnetic moment   0.00 μB/cell

extended XYZ file:
```
4
Lattice="-1.681 1.916 1.627 -0.113 -2.023 2.265 4.421 -0.570 5.237" Properties=species:S:1:pos:R:3 pbc="T T T"
P 4.408 -0.751 5.437
P 2.167 -1.116 3.551
Tc 0.237 0.309 2.689
Be 2.390 -0.988 6.441
```

***

(7)
Compound: La4Pm8Cd
Source: the Alexandria database
Functional: GGA-PBE
Structure: optimized geometry

Results
N(E_F)   1.7167 states/eV/atom
Space-group type   Cmmm (65)
Formation enthalpy at 0 K   0.119 eV/atom
Energy   -0.3227 Ry/atom
Total magnetic moment   0.00 μB/cell

extended XYZ file:
```
13
Lattice="-5.129 11.919 2.214 -5.449 -6.347 -7.720 5.122 -9.248 3.987" Properties=species:S:1:pos:R:3 pbc="T T T"
La 0.000 0.000 0.000
La 2.398 -12.421 0.128
La -5.289 2.786 -2.753
La -2.891 -9.636 -2.625
Pm -5.623 -0.812 -3.756
Pm 0.167 -2.865 2.237
Pm -2.747 2.388 -0.025
Pm 2.744 -9.107 1.249
Pm -2.709 -6.065 -1.494
Pm 0.088 -12.201 -2.515
Pm -5.544 8.524 0.996
Pm -8.201 5.430 -2.768
Cd -0.163 -7.798 -1.866
```

***

(8)
Compound: CuRe2Os
Source: the Alexandria database
Functional: GGA-PBE
Structure: optimized geometry

Results
N(E_F)   0.7352 states/eV/atom
Space-group type   F-43m (216)
Energy above the most stable polymorph in this dataset   0.169 eV/atom
Formation enthalpy at 0 K   0.366 eV/atom
Energy   -0.7122 Ry/atom
Total magnetic moment   0.00 μB/cell

extended XYZ file:
```
4
Lattice="4.329 0.000 0.000 2.164 3.749 0.000 2.164 1.250 3.534" Properties=species:S:1:pos:R:3 pbc="T T T"
Cu 4.329 2.499 1.767
Os 6.493 3.749 2.651
Re 0.000 0.000 0.000
Re 2.164 1.250 0.884
```

***

(9)
Compound: TaRh2W
Source: the Alexandria database
Functional: GGA-PBE
Structure: optimized geometry

Results
N(E_F)   0.6791 states/eV/atom
Space-group type   Cmmm (65)
Energy above the most stable polymorph in this dataset   0.000 eV/atom
Formation enthalpy at 0 K   -0.325 eV/atom
Energy   -0.7499 Ry/atom
Total magnetic moment   0.00 μB/cell

extended XYZ file:
```
4
Lattice="2.811 -3.910 0.000 2.811 3.910 0.000 0.000 0.000 2.809" Properties=species:S:1:pos:R:3 pbc="T T T"
Ta 2.811 0.000 1.404
Rh 1.406 1.955 0.000
Rh 1.406 -1.955 0.000
W 0.000 0.000 1.404
```

***

(10)
Compound: Np2Zn12Au7
Source: the Alexandria database
Functional: GGA-PBE
Structure: optimized geometry

Results
N(E_F)   0.7889 states/eV/atom
Space-group type   P-3 (147)
Formation enthalpy at 0 K   -0.146 eV/atom
Energy   -0.2351 Ry/atom
Total magnetic moment   8.40 μB/cell

extended XYZ file:
```
21
Lattice="3.169 0.000 0.000 0.000 10.058 -5.807 0.000 0.000 11.614" Properties=species:S:1:pos:R:3 pbc="T T T"
Np 0.783 3.353 5.807
Np 2.386 6.705 0.000
Zn 0.790 6.191 -2.748
Zn 0.790 4.582 1.820
Zn 0.790 9.343 0.929
Zn 2.379 3.867 8.555
Zn 2.379 5.476 3.987
Zn 2.379 0.715 4.878
Zn 0.770 0.810 2.389
Zn 0.770 1.664 9.718
Zn 0.770 7.584 5.314
Zn 2.399 9.248 3.418
Zn 2.399 8.394 -3.911
Zn 2.400 2.474 0.493
Au 1.585 0.000 0.000
Au 0.784 8.733 -1.748
Au 0.784 4.178 -0.882
Au 0.784 7.205 2.630
Au 2.385 1.325 7.555
Au 2.385 5.880 6.689
Au 2.385 2.853 3.177
```

***

(11)
Compound: Ag2MoRh
Source: the Alexandria database
Functional: GGA-PBE
Structure: optimized geometry

Results
N(E_F)   1.0812 states/eV/atom
Space-group type   F-43m (216)
Energy above the most stable polymorph in this dataset   0.359 eV/atom
Formation enthalpy at 0 K   0.477 eV/atom
Energy   -0.4039 Ry/atom
Total magnetic moment   0.84 μB/cell

extended XYZ file:
```
4
Lattice="4.518 0.000 0.000 2.259 3.913 0.000 2.259 1.304 3.689" Properties=species:S:1:pos:R:3 pbc="T T T"
Ag 0.000 0.000 0.000
Ag 6.777 3.913 2.767
Mo 4.518 2.609 1.845
Rh 2.259 1.304 0.922
```

***

(12)
Compound: NiPdRh6
Source: the Alexandria database
Functional: GGA-PBE
Structure: optimized geometry

Results
N(E_F)   1.6685 states/eV/atom
Space-group type   C2/m (12)
Formation enthalpy at 0 K   0.057 eV/atom
Energy   -0.5018 Ry/atom
Total magnetic moment   1.78 μB/cell

extended XYZ file:
```
8
Lattice="-1.201 2.584 2.545 -0.268 -1.628 4.394 5.953 2.623 3.015" Properties=species:S:1:pos:R:3 pbc="T T T"
Ni 0.000 0.000 0.000
Pd 2.842 0.497 3.705
Rh 3.227 0.869 6.376
Rh 3.837 2.886 4.617
Rh 0.311 0.354 2.655
Rh 0.646 0.692 5.338
Rh 1.257 2.709 3.579
Rh 4.172 3.224 7.300
```

***

- Look up the formation enthalpy at 0 K of the first one.
  0.638 eV/atom

***

What did the eleventh record say?
Compound: Ag2MoRh
Source: the Alexandria database
Functional: GGA-PBE
Structure: optimized geometry

Results
N(E_F)   1.0812 states/eV/atom
Space-group type   F-43m (216)
Energy above the most stable polymorph in this dataset   0.359 eV/atom
Formation enthalpy at 0 K   0.477 eV/atom
Energy   -0.4039 Ry/atom
Total magnetic moment   0.84 μB/cell

extended XYZ file:
```
4
Lattice="4.518 0.000 0.000 2.259 3.913 0.000 2.259 1.304 3.689" Properties=species:S:1:pos:R:3 pbc="T T T"
Ag 0.000 0.000 0.000
Ag 6.777 3.913 2.767
Mo 4.518 2.609 1.845
Rh 2.259 1.304 0.922
```

***

- Which of these has the highest total magnetic moment?
  Np2Zn12Au7

***

- Look up the energy of the eleventh one.
  -0.4039 Ry/atom